(1)
PBE BaGa2CoPb, relaxed; formation energy = -4.170 kcal/mol of atoms; final energy = -3.94 eV/atom; total moment = 0.991 μB/f.u.; symmetry = P4/mmm, No. 123; D(E_F) = 3.5 states/eV/cell
1.0
4.833 0.000 0.000
0.000 4.833 0.000
0.000 0.000 5.177
Pb Co Ba Ga
1 1 1 2
Direct
0.000 0.000 0.500
0.000 0.000 0.000
0.500 0.500 0.500
0.000 0.500 0.000
0.500 0.000 0.000

***

(2)
PBE Ba2Ga6CoPd, relaxed; formation energy = -8.610 kcal/mol of atoms; final energy = -3.80 eV/atom; total moment = 0.000 μB/f.u.; symmetry = Immm, No. 71; D(E_F) = 4.9 states/eV/cell
1.0
-5.763 3.685 0.011
-3.447 -5.393 -2.414
-5.529 -2.298 3.321
Ba Ga Co Pd
2 6 1 1
Direct
0.750 0.250 0.500
0.250 0.750 0.500
0.241 0.241 0.518
0.759 0.760 0.000
0.241 0.759 0.000
0.759 0.241 0.000
0.241 0.240 0.000
0.759 0.759 0.482
0.000 0.000 0.000
0.500 0.500 0.000

***

(3)
PBE BaGaCo2Pt, relaxed; formation energy = 4.788 kcal/mol of atoms; final energy = -4.83 eV/atom; total moment = 4.167 μB/f.u.; symmetry = P4/mmm, No. 123; D(E_F) = 4.2 states/eV/cell
1.0
-0.088 3.219 3.740
-3.961 -2.017 1.642
2.708 -3.096 2.728
Ga Co Ba Pt
1 2 1 1
Direct
0.000 0.500 0.000
0.000 0.000 0.500
0.500 0.000 0.000
0.500 0.500 0.500
0.000 0.000 0.000

***

(4)
PBE Ba2Ga6CoPt, relaxed; formation energy = -9.576 kcal/mol of atoms; final energy = -3.93 eV/atom; total moment = 0.000 μB/f.u.; symmetry = Immm, No. 71; D(E_F) = 5.0 states/eV/cell
1.0
6.836 -0.001 0.010
-0.001 6.836 0.010
3.424 3.425 4.844
Ba Ga Co Pt
2 6 1 1
Direct
0.750 0.250 0.500
0.250 0.750 0.500
0.240 0.240 0.519
0.760 0.760 0.000
0.240 0.760 0.000
0.760 0.240 0.000
0.240 0.240 0.000
0.760 0.760 0.481
0.000 0.000 0.000
0.500 0.500 0.000